Here is crystalline Fe3BiO6 at its relaxed geometry from the Alexandria database. Energies are from PBE+U.

Calculated values
Total energy ... -6.231 eV/atom

The structure in CIF format:
```
data_Fe3BiO6
_chemical_formula_sum 'Fe6 Bi2 O12'
_symmetry_space_group_name_H-M 'P 1'
_symmetry_Int_Tables_number 1
_cell_length_a 5.4754
_cell_length_b 5.4310
_cell_length_c 9.5757
_cell_angle_alpha 90.00
_cell_angle_beta 124.64
_cell_angle_gamma 90.00
loop_
_symmetry_equiv_pos_as_xyz
'x,y,z'
loop_
_atom_site_label
_atom_site_type_symbol
_atom_site_fract_x
_atom_site_fract_y
_atom_site_fract_z
Fe1 Fe 0.0000 0.0000 0.0000
Fe2 Fe 0.0000 0.5000 0.5000
Fe3 Fe 0.2465 0.0363 0.7371
Fe4 Fe 0.2465 0.4637 0.2371
Fe5 Fe 0.7535 0.5363 0.7629
Fe6 Fe 0.7535 0.9637 0.2629
Bi1 Bi 0.5000 0.0000 0.5000
Bi2 Bi 0.5000 0.5000 0.0000
O1 O 0.1007 0.1799 0.4433
O2 O 0.1007 0.3201 0.9433
O3 O 0.2431 0.6665 0.4226
O4 O 0.2431 0.8335 0.9226
O5 O 0.3731 0.0872 0.2453
O6 O 0.3731 0.4128 0.7453
O7 O 0.6269 0.5872 0.2547
O8 O 0.6269 0.9128 0.7547
O9 O 0.7569 0.1665 0.0774
O10 O 0.7569 0.3335 0.5774
O11 O 0.8993 0.6799 0.0567
O12 O 0.8993 0.8201 0.5567
```